(1)
The following is a DFT calculation (PBE) of a relaxed structure of Ti3Te4O2.

Cell lengths 3.208, 3.208, 21.176 Å; angles 90.00, 90.00, 120.00 degrees
Last column: magnetic moment on the atom in μB.
Sites, in units of the cell vectors:
Ti 0.000 0.000 0.979  0.28
Ti 0.000 0.000 0.295  0.31
Ti 0.667 0.333 0.686  0.28
Te 0.000 0.000 0.587  0.02
Te 0.667 0.333 0.394  0.02
Te 0.667 0.333 0.194  0.02
Te 0.000 0.000 0.787  0.02
O 0.667 0.333 0.030  -0.03
O 0.667 0.333 0.925  -0.02

Computed properties:
Its uncorrected formation energy is -8.4 eV per formula unit. As for the density of states at the Fermi level: 6.246 states/eV/f.u. As for the size of the total moment: 0.138 μB per atom. The calculation puts the theoretical density at 6.04 g/cm3. The value obtained for the volume is 20.964 Å³/atom. The final energy comes out at -6.061 eV/atom.

---

(2)
The following is a DFT calculation (PBE) of a relaxed structure of YTiRh3.

Cell lengths 4.588, 4.588, 4.588 Å; angles 90.00, 90.00, 90.00 degrees
Sites, in units of the cell vectors:
Y 0.500 0.500 0.500
Rh 0.000 0.500 0.000
Rh 0.000 0.000 0.500
Rh 0.500 0.000 0.000
Ti 0.000 0.000 0.000

Computed properties:
The energy of formation comes out at -0.30 eV per atom. As for the density of states at the Fermi level: 0.663 states/eV/f.u. As for the size of the total moment: 0.000 μB per atom. The calculation puts the theoretical density at 7.66 g/cm3. The value obtained for the volume is 19.310 Å³/atom. For the relative energy among the computed polymorphs, the calculation gives 0 meV per atom. The final energy comes out at -7.578 eV/atom.

---

(3)
The following is a DFT calculation (PBE) of a relaxed structure of Rb3Se2Br8.

Cell lengths 7.548, 7.548, 11.312 Å; angles 70.51, 70.51, 60.00 degrees
Sites, in units of the cell vectors:
Rb 0.000 0.000 0.000
Rb 0.795 0.795 0.615
Rb 0.205 0.205 0.385
Se 0.603 0.603 0.190
Se 0.397 0.397 0.810
Br 0.684 0.684 0.947
Br 0.316 0.316 0.053
Br 0.196 0.747 0.310
Br 0.747 0.196 0.310
Br 0.747 0.747 0.310
Br 0.253 0.804 0.690
Br 0.804 0.253 0.690
Br 0.253 0.253 0.690

Computed properties:
Its uncorrected formation energy is -8.7 eV per formula unit. As for the density of states at the Fermi level: 9.803 states/eV/f.u. As for the size of the total moment: 0.000 μB per atom. The calculation puts the theoretical density at 3.40 g/cm3. The value obtained for the volume is 39.622 Å³/atom. The final energy comes out at -2.461 eV/atom.

---

(4)
The following is a DFT calculation (PBE) of a relaxed structure of La5PuSn3.

Cell lengths 6.807, 9.792, 9.792 Å; angles 120.00, 90.00, 90.00 degrees
Last column: magnetic moment on the atom in μB.
Sites, in units of the cell vectors:
La 0.000 0.667 0.333  -0.35
La 0.500 0.333 0.667  -0.35
La 0.000 0.333 0.667  -0.35
La 0.500 0.667 0.333  -0.35
La 0.750 0.682 0.682  -0.01
La 0.750 0.000 0.318  -0.01
La 0.750 0.318 0.000  -0.01
La 0.250 0.318 0.318  -0.01
La 0.250 0.000 0.682  -0.01
La 0.250 0.682 0.000  -0.01
Pu 0.000 0.000 0.000  5.82
Pu 0.500 0.000 0.000  5.82
Sn 0.750 0.343 0.343  -0.01
Sn 0.750 0.000 0.657  -0.01
Sn 0.750 0.657 0.000  -0.01
Sn 0.250 0.657 0.657  -0.01
Sn 0.250 0.000 0.343  -0.01
Sn 0.250 0.343 0.000  -0.01

Computed properties:
The energy of formation comes out at -0.57 eV per atom. As for the density of states at the Fermi level: 13.691 states/eV/f.u. As for the size of the total moment: 0.520 μB per atom. The calculation puts the theoretical density at 7.61 g/cm3. The value obtained for the volume is 31.400 Å³/atom. The final energy comes out at -6.234 eV/atom.

---

What is the formula in the first record? Ti3Te4O2